{"formula": "CuNi14Sb", "functional": "PBE-GGA", "state": "relaxed", "lattice": [[5.079, 0.000, 0.000], [0.000, 5.079, 0.000], [0.000, 0.000, 7.107]], "species": ["Cu", "Ni", "Ni", "Ni", "Ni", "Ni", "Ni", "Ni", "Ni", "Ni", "Ni", "Ni", "Ni", "Ni", "Ni", "Sb"], "frac_coords": [[0.000, 0.000, 0.000], [0.000, 0.000, 0.500], [0.000, 0.500, 0.000], [0.000, 0.500, 0.500], [0.246, 0.246, 0.260], [0.246, 0.246, 0.740], [0.246, 0.754, 0.260], [0.246, 0.754, 0.740], [0.500, 0.000, 0.000], [0.500, 0.000, 0.500], [0.500, 0.500, 0.500], [0.754, 0.246, 0.260], [0.754, 0.246, 0.740], [0.754, 0.754, 0.260], [0.754, 0.754, 0.740], [0.500, 0.500, 0.000]], "e_form_raw_kj_per_mol_atoms": -0.8, "final_energy_ha_per_atom": -0.205, "magmom_total_mub_per_fu": 5.80}